(1)
# SrCdPt2, optimized geometry, DFT GGA-PBE
# - D(E_F): 0.7419 states/eV per atom
# - Formation energy: -0.0449 eV/atom
# - SG: R-3m, No. 166
# - Calculated density: 11.34 Mg/m³
data_SrCdPt2
_chemical_formula_sum 'Sr1 Cd1 Pt2'
_symmetry_space_group_name_H-M 'P 1'
_symmetry_Int_Tables_number 1
_symmetry_space_group_name_Hall 'P 1'
_cell_length_a 9.0711
_cell_length_b 9.0711
_cell_length_c 9.0711
_cell_angle_alpha 21.32
_cell_angle_beta 21.32
_cell_angle_gamma 21.32
loop_
_atom_site_label
_atom_site_type_symbol
_atom_site_fract_x
_atom_site_fract_y
_atom_site_fract_z
Cd1 Cd 0.7500 0.7500 0.7500
Pt1 Pt 0.0053 0.0053 0.0053
Pt2 Pt 0.4947 0.4947 0.4947
Sr1 Sr 0.2500 0.2500 0.2500

***

(2)
# FeBP2, optimized geometry, DFT GGA-PBE
# - D(E_F): 0.7773 states/eV per atom
# - Formation energy: -0.0243 eV/atom
# - SG: I-42d, No. 122
# - Calculated density: 3.95 Mg/m³
data_FeBP2
_chemical_formula_sum 'Fe2 B2 P4'
_symmetry_space_group_name_H-M 'P 1'
_symmetry_Int_Tables_number 1
_symmetry_space_group_name_Hall 'P 1'
_cell_length_a 4.9310
_cell_length_b 4.9310
_cell_length_c 5.6540
_cell_angle_alpha 64.15
_cell_angle_beta 64.15
_cell_angle_gamma 90.00
loop_
_atom_site_label
_atom_site_type_symbol
_atom_site_fract_x
_atom_site_fract_y
_atom_site_fract_z
P1 P 0.5907 0.1250 0.2500
P2 P 0.1593 0.6250 0.2500
P3 P 0.3750 0.4093 0.7500
P4 P 0.8750 0.8407 0.7500
B1 B 0.5000 0.5000 0.0000
B2 B 0.2500 0.7500 0.5000
Fe1 Fe 0.0000 0.0000 0.0000
Fe2 Fe 0.7500 0.2500 0.5000

***

(3)
# Ce3Hg5Te12, optimized geometry, DFT GGA-PBE
# - D(E_F): 0.7888 states/eV per atom
# - SG: Ia-3d, No. 230
# - ΔE_f (raw): -0.468 eV/atom
# - Calculated density: 7.00 Mg/m³
data_Ce3Hg5Te12
_chemical_formula_sum 'Ce12 Hg20 Te48'
_symmetry_space_group_name_H-M 'P 1'
_symmetry_Int_Tables_number 1
_symmetry_space_group_name_Hall 'P 1'
_cell_length_a 15.3873
_cell_length_b 15.3873
_cell_length_c 15.3873
_cell_angle_alpha 109.47
_cell_angle_beta 109.47
_cell_angle_gamma 109.47
loop_
_atom_site_label
_atom_site_type_symbol
_atom_site_fract_x
_atom_site_fract_y
_atom_site_fract_z
Ce1 Ce 0.7500 0.3750 0.1250
Ce2 Ce 0.8750 0.7500 0.1250
Ce3 Ce 0.3750 0.7500 0.6250
Ce4 Ce 0.2500 0.1250 0.3750
Ce5 Ce 0.8750 0.1250 0.2500
Ce6 Ce 0.3750 0.6250 0.2500
Ce7 Ce 0.6250 0.3750 0.7500
Ce8 Ce 0.1250 0.8750 0.7500
Ce9 Ce 0.7500 0.8750 0.6250
Ce10 Ce 0.6250 0.2500 0.3750
Ce11 Ce 0.1250 0.2500 0.8750
Ce12 Ce 0.2500 0.6250 0.8750
Hg1 Hg 0.1250 0.3750 0.2500
Hg2 Hg 0.0000 0.5000 0.0000
Hg3 Hg 0.0000 0.0000 0.0000
Hg4 Hg 0.3750 0.2500 0.1250
Hg5 Hg 0.5000 0.0000 0.5000
Hg6 Hg 0.5000 0.5000 0.0000
Hg7 Hg 0.1250 0.7500 0.3750
Hg8 Hg 0.7500 0.1250 0.8750
Hg9 Hg 0.7500 0.6250 0.3750
Hg10 Hg 0.3750 0.1250 0.7500
Hg11 Hg 0.6250 0.8750 0.2500
Hg12 Hg 0.5000 0.5000 0.5000
Hg13 Hg 0.5000 0.0000 0.0000
Hg14 Hg 0.0000 0.0000 0.5000
Hg15 Hg 0.2500 0.3750 0.6250
Hg16 Hg 0.2500 0.8750 0.1250
Hg17 Hg 0.0000 0.5000 0.5000
Hg18 Hg 0.8750 0.2500 0.6250
Hg19 Hg 0.6250 0.7500 0.8750
Hg20 Hg 0.8750 0.6250 0.7500
Te1 Te 0.7248 0.1370 0.0529
Te2 Te 0.3281 0.5529 0.4159
Te3 Te 0.9471 0.3630 0.2752
Te4 Te 0.5529 0.2248 0.1370
Te5 Te 0.5878 0.7248 0.6719
Te6 Te 0.9471 0.5841 0.1719
Te7 Te 0.3281 0.7752 0.4122
Te8 Te 0.0841 0.9122 0.1370
Te9 Te 0.5841 0.9471 0.6719
Te10 Te 0.7248 0.5878 0.1719
Te11 Te 0.7752 0.4471 0.3630
Te12 Te 0.8281 0.9159 0.0529
Te13 Te 0.1370 0.7248 0.5529
Te14 Te 0.3630 0.4159 0.0878
Te15 Te 0.0878 0.9159 0.3630
Te16 Te 0.4122 0.1370 0.5841
Te17 Te 0.0878 0.1719 0.2248
Te18 Te 0.4471 0.6719 0.0841
Te19 Te 0.8281 0.9122 0.2752
Te20 Te 0.1370 0.4122 0.0841
Te21 Te 0.3630 0.9471 0.7752
Te22 Te 0.5841 0.6370 0.4122
Te23 Te 0.9159 0.8281 0.5529
Te24 Te 0.7752 0.3281 0.9122
Te25 Te 0.4159 0.3630 0.5878
Te26 Te 0.0841 0.1719 0.4471
Te27 Te 0.2248 0.6719 0.0878
Te28 Te 0.1719 0.0878 0.7248
Te29 Te 0.6370 0.0529 0.2248
Te30 Te 0.8630 0.5878 0.9159
Te31 Te 0.5529 0.3281 0.9159
Te32 Te 0.5878 0.8630 0.4159
Te33 Te 0.9122 0.8281 0.7752
Te34 Te 0.9122 0.0841 0.6370
Te35 Te 0.8630 0.2752 0.4471
Te36 Te 0.1719 0.0841 0.9471
Te37 Te 0.6370 0.5841 0.9122
Te38 Te 0.4159 0.0529 0.3281
Te39 Te 0.2752 0.4122 0.8281
Te40 Te 0.2248 0.5529 0.6370
Te41 Te 0.9159 0.0878 0.8630
Te42 Te 0.6719 0.2248 0.5878
Te43 Te 0.4471 0.7752 0.8630
Te44 Te 0.0529 0.4159 0.8281
Te45 Te 0.4122 0.2752 0.3281
Te46 Te 0.0529 0.6370 0.7248
Te47 Te 0.6719 0.4471 0.5841
Te48 Te 0.2752 0.8630 0.9471

***

(4)
# LiMgIn4Pd2, optimized geometry, DFT GGA-PBE
# - D(E_F): 0.5572 states/eV per atom
# - Formation energy: -0.1497 eV/atom
# - SG: P4/mmm, No. 123
# - Calculated density: 6.53 Mg/m³
data_LiMgIn4Pd2
_chemical_formula_sum 'Li1 Mg1 In4 Pd2'
_symmetry_space_group_name_H-M 'P 1'
_symmetry_Int_Tables_number 1
_symmetry_space_group_name_Hall 'P 1'
_cell_length_a 4.3639
_cell_length_b 4.3639
_cell_length_c 9.3876
_cell_angle_alpha 90.00
_cell_angle_beta 90.00
_cell_angle_gamma 90.00
loop_
_atom_site_label
_atom_site_type_symbol
_atom_site_fract_x
_atom_site_fract_y
_atom_site_fract_z
Li1 Li 0.0000 0.0000 0.0000
Mg1 Mg 0.0000 0.0000 0.5000
In1 In 0.0000 0.5000 0.1870
In2 In 0.5000 0.0000 0.8130
In3 In 0.5000 0.0000 0.1870
In4 In 0.0000 0.5000 0.8130
Pd1 Pd 0.5000 0.5000 0.3622
Pd2 Pd 0.5000 0.5000 0.6378

***

(5)
# Ho3AgPd4, optimized geometry, DFT GGA-PBE
# - D(E_F): 0.6020 states/eV per atom
# - Formation energy: -0.7599 eV/atom
# - SG: Pmma, No. 51
# - Calculated density: 10.67 Mg/m³
data_Ho3AgPd4
_chemical_formula_sum 'Ho6 Ag2 Pd8'
_symmetry_space_group_name_H-M 'P 1'
_symmetry_Int_Tables_number 1
_symmetry_space_group_name_Hall 'P 1'
_cell_length_a 4.8261
_cell_length_b 6.8739
_cell_length_c 9.6508
_cell_angle_alpha 90.00
_cell_angle_beta 90.00
_cell_angle_gamma 90.00
loop_
_atom_site_label
_atom_site_type_symbol
_atom_site_fract_x
_atom_site_fract_y
_atom_site_fract_z
Pd1 Pd 0.5000 0.7518 0.0000
Pd2 Pd 0.5000 0.7518 0.5000
Pd3 Pd 0.5000 0.2482 0.0000
Pd4 Pd 0.5000 0.2482 0.5000
Pd5 Pd 0.0028 0.7518 0.7500
Pd6 Pd 0.9972 0.7518 0.2500
Pd7 Pd 0.9972 0.2482 0.2500
Pd8 Pd 0.0028 0.2482 0.7500
Ho1 Ho 0.0000 0.0000 0.0000
Ho2 Ho 0.0000 0.0000 0.5000
Ho3 Ho 0.5012 0.0000 0.7500
Ho4 Ho 0.4988 0.0000 0.2500
Ho5 Ho 0.5029 0.5000 0.7500
Ho6 Ho 0.4971 0.5000 0.2500
Ag1 Ag 0.0000 0.5000 0.0000
Ag2 Ag 0.0000 0.5000 0.5000

***

(6)
# KLiO2F, optimized geometry, DFT GGA-PBE
# - D(E_F): 0.4548 states/eV per atom
# - SG: P4/mmm, No. 123
# - ΔE_f (raw): -0.284 eV/atom
# - Calculated density: 1.32 Mg/m³
data_KLiO2F
_chemical_formula_sum 'K1 Li1 O2 F1'
_symmetry_space_group_name_H-M 'P 1'
_symmetry_Int_Tables_number 1
_symmetry_space_group_name_Hall 'P 1'
_cell_length_a 5.0064
_cell_length_b 5.0064
_cell_length_c 4.8581
_cell_angle_alpha 90.00
_cell_angle_beta 90.00
_cell_angle_gamma 90.00
loop_
_atom_site_label
_atom_site_type_symbol
_atom_site_fract_x
_atom_site_fract_y
_atom_site_fract_z
K1 K 0.0000 0.0000 0.0000
Li1 Li 0.5000 0.5000 0.5000
O1 O 0.0000 0.5000 0.0000
O2 O 0.5000 0.0000 0.0000
F1 F 0.0000 0.0000 0.5000

***

(7)
# ZrCd2Au, optimized geometry, DFT GGA-PBE
# - D(E_F): 0.7813 states/eV per atom
# - Formation energy: -0.2407 eV/atom
# - SG: Pmm2, No. 25
# - Calculated density: 10.21 Mg/m³
data_ZrCd2Au
_chemical_formula_sum 'Zr1 Cd2 Au1'
_symmetry_space_group_name_H-M 'P 1'
_symmetry_Int_Tables_number 1
_symmetry_space_group_name_Hall 'P 1'
_cell_length_a 3.1171
_cell_length_b 3.3281
_cell_length_c 8.0426
_cell_angle_alpha 90.00
_cell_angle_beta 90.00
_cell_angle_gamma 90.00
loop_
_atom_site_label
_atom_site_type_symbol
_atom_site_fract_x
_atom_site_fract_y
_atom_site_fract_z
Au1 Au 0.5000 0.5000 0.7468
Zr1 Zr 0.0000 0.0000 0.5184
Cd1 Cd 0.0000 0.0000 0.9854
Cd2 Cd 0.5000 0.5000 0.2494

***

(8)
# PdSeN2, optimized geometry, DFT GGA-PBE
# - D(E_F): 0.2893 states/eV per atom
# - SG: I-42d, No. 122
# - ΔE_f (raw): 1.281 eV/atom
# - Calculated density: 6.28 Mg/m³
data_PdSeN2
_chemical_formula_sum 'Pd2 Se2 N4'
_symmetry_space_group_name_H-M 'P 1'
_symmetry_Int_Tables_number 1
_symmetry_space_group_name_Hall 'P 1'
_cell_length_a 4.7328
_cell_length_b 4.7328
_cell_length_c 6.0502
_cell_angle_alpha 66.98
_cell_angle_beta 66.98
_cell_angle_gamma 90.00
loop_
_atom_site_label
_atom_site_type_symbol
_atom_site_fract_x
_atom_site_fract_y
_atom_site_fract_z
Se1 Se 0.5000 0.5000 0.0000
Se2 Se 0.2500 0.7500 0.5000
Pd1 Pd 0.0000 0.0000 0.0000
Pd2 Pd 0.7500 0.2500 0.5000
N1 N 0.6078 0.1250 0.2500
N2 N 0.1422 0.6250 0.2500
N3 N 0.3750 0.3922 0.7500
N4 N 0.8750 0.8578 0.7500

***

Q: calculated density of number 4 (LiMgIn4Pd2)?
A: 6.53 Mg/m³